[1]
VASP calculation (PBE-GGA) on a relaxed CeY3Pu2Te6 crystal.

a = 7.589 Å, b = 7.589 Å, c = 7.723 Å
α = 99.43°, β = 99.43°, γ = 119.99°
Atoms (fractional coordinates):
Te (0.749, 0.749, 0.256)
Te (0.422, 0.086, 0.257)
Te (0.086, 0.422, 0.257)
Te (0.914, 0.578, 0.743)
Te (0.251, 0.251, 0.744)
Te (0.578, 0.914, 0.743)
Y (0.166, 0.834, 0.500)
Y (0.500, 0.500, 0.500)
Y (0.834, 0.166, 0.500)
Pu (0.667, 0.333, 0.000)
Pu (0.333, 0.667, 0.000)
Ce (0.000, 0.000, 0.000)

Output
M_tot: 13.26 Bohr magnetons per cell
E_form (uncorrected): -1272.8 meV/atom
volume: 30.3 Å³ per atom
crystal system: monoclinic
Fermi-level density of states: 27.91 states/eV per cell

[2]
VASP calculation (PBE-GGA) on a relaxed Y3SnPb crystal.

a = 5.660 Å, b = 5.660 Å, c = 5.660 Å
α = 90.00°, β = 90.00°, γ = 90.00°
Atoms (fractional coordinates):
Y (0.000, 0.500, 0.000)
Y (0.500, 0.000, 0.000)
Y (0.000, 0.000, 0.500)
Sn (0.000, 0.000, 0.000)
Pb (0.500, 0.500, 0.500)

Output
M_tot: 0.00 Bohr magnetons per cell
ΔH_f (0 K): -0.066 eV/atom
distance to the lowest polymorph of the same formula: 447 meV per atom
volume: 36.3 Å³ per atom
crystal system: cubic
Fermi-level density of states: 3.75 states/eV per cell

[3]
VASP calculation (PBE-GGA) on a relaxed AcThRhN3 crystal.

a = 3.561 Å, b = 7.668 Å, c = 7.972 Å
α = 99.48°, β = 90.00°, γ = 90.00°
Atoms (fractional coordinates):
N (0.250, 0.824, 0.533)
N (0.750, 0.871, 0.138)
N (0.750, 0.176, 0.467)
N (0.250, 0.129, 0.862)
N (0.250, 0.579, 0.871)
N (0.750, 0.421, 0.129)
Ac (0.250, 0.166, 0.196)
Ac (0.750, 0.834, 0.804)
Rh (0.250, 0.106, 0.580)
Rh (0.750, 0.894, 0.420)
Th (0.250, 0.648, 0.170)
Th (0.750, 0.352, 0.830)

Output
M_tot: 0.00 Bohr magnetons per cell
E_form (uncorrected): -809.2 meV/atom
volume: 17.9 Å³ per atom
crystal system: monoclinic
Fermi-level density of states: 3.86 states/eV per cell

[4]
VASP calculation (PBE-GGA) on a relaxed Ta2AgRh crystal.

a = 3.204 Å, b = 3.306 Å, c = 6.476 Å
α = 90.00°, β = 90.00°, γ = 90.00°
Atoms (fractional coordinates):
Ta (0.500, 0.500, 0.250)
Ta (0.000, 0.000, 0.974)
Rh (0.500, 0.500, 0.770)
Ag (0.000, 0.000, 0.506)

Output
M_tot: 0.00 Bohr magnetons per cell
ΔH_f (0 K): -0.078 eV/atom
volume: 17.1 Å³ per atom
crystal system: orthorhombic
Fermi-level density of states: 2.17 states/eV per cell

[5]
VASP calculation (PBE-GGA) on a relaxed Pm7Pr2Nd3 crystal.

a = 3.655 Å, b = 6.000 Å, c = 19.348 Å
α = 93.13°, β = 90.00°, γ = 90.00°
Atoms (fractional coordinates):
Pm (0.000, 0.000, 0.000)
Pm (0.000, 0.315, 0.857)
Pm (0.000, 0.685, 0.143)
Pm (0.500, 0.257, 0.536)
Pm (0.500, 0.814, 0.825)
Pm (0.500, 0.743, 0.464)
Pm (0.500, 0.186, 0.175)
Pr (0.500, 0.708, 0.295)
Pr (0.500, 0.292, 0.705)
Nd (0.000, 0.219, 0.368)
Nd (0.000, 0.781, 0.632)
Nd (0.500, 0.500, 0.000)

Output
M_tot: 0.00 Bohr magnetons per cell
ΔH_f (0 K): 0.081 eV/atom
distance to the lowest polymorph of the same formula: 11 meV per atom
volume: 35.3 Å³ per atom
crystal system: monoclinic
Fermi-level density of states: 16.37 states/eV per cell

[6]
VASP calculation (PBE-GGA) on a relaxed ZnCr2WS crystal.

a = 4.699 Å, b = 4.308 Å, c = 4.699 Å
α = 90.00°, β = 90.00°, γ = 90.00°
Atoms (fractional coordinates):
Cr (0.500, 0.000, 0.000)
Cr (0.000, 0.000, 0.500)
Zn (0.000, 0.000, 0.000)
W (0.500, 0.500, 0.500)
S (0.000, 0.500, 0.000)

Output
M_tot: 4.70 Bohr magnetons per cell
E_form (uncorrected): 1691.2 meV/atom
volume: 19.0 Å³ per atom
crystal system: tetragonal
Fermi-level density of states: 5.76 states/eV per cell

[7]
VASP calculation (PBE-GGA) on a relaxed Te2I3Br4 crystal.

a = 19.716 Å, b = 17.402 Å, c = 17.402 Å
α = 33.01°, β = 24.45°, γ = 24.45°
Atoms (fractional coordinates):
Te (0.098, 0.540, 0.193)
Te (0.598, 0.193, 0.540)
Te (0.902, 0.460, 0.807)
Te (0.402, 0.807, 0.460)
Br (0.234, 0.658, 0.836)
Br (0.794, 0.814, 0.356)
Br (0.706, 0.644, 0.186)
Br (0.766, 0.342, 0.164)
Br (0.266, 0.164, 0.342)
Br (0.206, 0.186, 0.644)
Br (0.734, 0.836, 0.658)
Br (0.294, 0.356, 0.814)
I (0.581, 0.547, 0.962)
I (0.750, 0.585, 0.415)
I (0.419, 0.453, 0.038)
I (0.250, 0.415, 0.585)
I (0.919, 0.038, 0.453)
I (0.081, 0.962, 0.547)

Output
M_tot: 0.00 Bohr magnetons per cell
E_form (uncorrected): -134.8 meV/atom
volume: 56.7 Å³ per atom
crystal system: monoclinic
Fermi-level density of states: 6.48 states/eV per cell

[8]
VASP calculation (PBE-GGA) on a relaxed HgPdS crystal.

a = 5.798 Å, b = 3.272 Å, c = 6.719 Å
α = 90.00°, β = 90.00°, γ = 90.00°
Atoms (fractional coordinates):
Pd (0.000, 0.500, 0.500)
Pd (0.500, 0.500, 0.500)
S (0.750, 0.000, 0.344)
S (0.250, 0.000, 0.656)
Hg (0.250, 0.500, 0.105)
Hg (0.750, 0.500, 0.895)

Output
M_tot: 0.00 Bohr magnetons per cell
distance to the lowest polymorph of the same formula: 49 meV per atom
E_form (uncorrected): -162.9 meV/atom
volume: 21.2 Å³ per atom
crystal system: orthorhombic
Fermi-level density of states: 2.75 states/eV per cell

[9]
VASP calculation (PBE-GGA) on a relaxed GaCo crystal.

a = 7.297 Å, b = 7.297 Å, c = 4.077 Å
α = 90.00°, β = 90.00°, γ = 90.00°
Atoms (fractional coordinates):
Ga (0.773, 0.500, 0.000)
Ga (0.500, 0.773, 0.000)
Ga (0.000, 0.273, 0.500)
Ga (0.000, 0.727, 0.500)
Ga (0.227, 0.500, 0.000)
Ga (0.500, 0.227, 0.000)
Ga (0.727, 0.000, 0.500)
Ga (0.273, 0.000, 0.500)
Co (0.165, 0.165, 0.000)
Co (0.335, 0.335, 0.500)
Co (0.835, 0.165, 0.000)
Co (0.665, 0.665, 0.500)
Co (0.835, 0.835, 0.000)
Co (0.335, 0.665, 0.500)
Co (0.165, 0.835, 0.000)
Co (0.665, 0.335, 0.500)

Output
M_tot: 7.62 Bohr magnetons per cell
ΔH_f (0 K): -0.099 eV/atom
volume: 13.6 Å³ per atom
crystal system: tetragonal
Fermi-level density of states: 16.32 states/eV per cell

[10]
VASP calculation (PBE-GGA) on a relaxed ZrScPbBr crystal.

a = 3.335 Å, b = 5.215 Å, c = 5.902 Å
α = 93.04°, β = 106.53°, γ = 89.96°
Atoms (fractional coordinates):
Br (0.237, 0.366, 0.473)
Pb (0.941, 0.887, 0.878)
Zr (0.196, 0.862, 0.396)
Sc (0.540, 0.392, 0.081)

Output
M_tot: 0.00 Bohr magnetons per cell
distance to the lowest polymorph of the same formula: 91 meV per atom
E_form (uncorrected): -423.7 meV/atom
volume: 24.6 Å³ per atom
crystal system: triclinic
Fermi-level density of states: 2.42 states/eV per cell

[11]
VASP calculation (PBE-GGA) on a relaxed Pm3Dy2Tm6Sc crystal.

a = 6.101 Å, b = 6.101 Å, c = 11.626 Å
α = 95.02°, β = 95.02°, γ = 119.97°
Atoms (fractional coordinates):
Sc (0.000, 0.000, 0.000)
Dy (0.666, 0.334, 0.000)
Dy (0.334, 0.666, 0.000)
Pm (0.167, 0.833, 0.500)
Pm (0.500, 0.500, 0.500)
Pm (0.833, 0.167, 0.500)
Tm (0.250, 0.250, 0.755)
Tm (0.919, 0.588, 0.755)
Tm (0.750, 0.750, 0.245)
Tm (0.412, 0.081, 0.245)
Tm (0.081, 0.412, 0.245)
Tm (0.588, 0.919, 0.755)

Output
M_tot: 0.00 Bohr magnetons per cell
ΔH_f (0 K): 0.031 eV/atom
volume: 30.8 Å³ per atom
crystal system: monoclinic
Fermi-level density of states: 16.59 states/eV per cell

[12]
VASP calculation (PBE-GGA) on a relaxed ScTl2Se crystal.

a = 8.389 Å, b = 8.389 Å, c = 6.656 Å
α = 50.93°, β = 50.93°, γ = 90.00°
Atoms (fractional coordinates):
Tl (0.875, 0.877, 0.750)
Tl (0.627, 0.125, 0.250)
Tl (0.375, 0.373, 0.750)
Tl (0.123, 0.625, 0.250)
Se (0.000, 0.000, 0.000)
Se (0.750, 0.250, 0.500)
Sc (0.500, 0.500, 0.000)
Sc (0.250, 0.750, 0.500)

Output
M_tot: 0.00 Bohr magnetons per cell
E_form (uncorrected): -168.7 meV/atom
volume: 26.6 Å³ per atom
crystal system: tetragonal
Fermi-level density of states: 6.81 states/eV per cell

[13]
VASP calculation (PBE-GGA) on a relaxed MgReRu4 crystal.

a = 5.067 Å, b = 5.067 Å, c = 5.067 Å
α = 60.00°, β = 60.00°, γ = 60.00°
Atoms (fractional coordinates):
Ru (0.375, 0.375, 0.375)
Ru (0.375, 0.874, 0.375)
Ru (0.375, 0.375, 0.874)
Ru (0.874, 0.375, 0.375)
Mg (0.750, 0.750, 0.750)
Re (0.000, 0.000, 0.000)

Output
M_tot: 0.00 Bohr magnetons per cell
ΔH_f (0 K): 0.385 eV/atom
volume: 15.3 Å³ per atom
crystal system: cubic
Fermi-level density of states: 7.82 states/eV per cell

[14]
VASP calculation (PBE-GGA) on a relaxed RbPuTl2Br6 crystal.

a = 7.958 Å, b = 8.836 Å, c = 11.484 Å
α = 90.00°, β = 86.85°, γ = 90.00°
Atoms (fractional coordinates):
Br (0.662, 0.263, 0.595)
Br (0.643, 0.087, 0.274)
Br (0.143, 0.413, 0.774)
Br (0.162, 0.237, 0.095)
Br (0.308, 0.662, 0.036)
Br (0.857, 0.587, 0.226)
Br (0.808, 0.838, 0.536)
Br (0.357, 0.913, 0.726)
Br (0.838, 0.763, 0.905)
Br (0.692, 0.338, 0.964)
Br (0.338, 0.737, 0.405)
Br (0.192, 0.162, 0.464)
Rb (0.000, 0.500, 0.500)
Rb (0.500, 0.000, 0.000)
Tl (0.521, 0.566, 0.778)
Tl (0.021, 0.934, 0.278)
Tl (0.979, 0.066, 0.722)
Tl (0.479, 0.434, 0.222)
Pu (0.000, 0.500, 0.000)
Pu (0.500, 0.000, 0.500)

Output
M_tot: 10.00 Bohr magnetons per cell
E_form (uncorrected): -1318.9 meV/atom
volume: 40.3 Å³ per atom
crystal system: monoclinic
Fermi-level density of states: 20.27 states/eV per cell

[15]
VASP calculation (PBE-GGA) on a relaxed MgGePb crystal.

a = 4.894 Å, b = 4.894 Å, c = 4.894 Å
α = 60.00°, β = 60.00°, γ = 60.00°
Atoms (fractional coordinates):
Pb (0.000, 0.000, 0.000)
Mg (0.500, 0.500, 0.500)
Ge (0.250, 0.250, 0.250)

Output
M_tot: 0.00 Bohr magnetons per cell
ΔH_f (0 K): 0.074 eV/atom
volume: 27.6 Å³ per atom
crystal system: cubic
Fermi-level density of states: 1.43 states/eV per cell

[16]
VASP calculation (PBE-GGA) on a relaxed BaAcBiAu crystal.

a = 5.828 Å, b = 5.828 Å, c = 5.828 Å
α = 60.00°, β = 60.00°, γ = 60.00°
Atoms (fractional coordinates):
Au (0.000, 0.000, 0.000)
Ac (0.750, 0.750, 0.750)
Bi (0.500, 0.500, 0.500)
Ba (0.250, 0.250, 0.250)

Output
M_tot: 0.07 Bohr magnetons per cell
ΔH_f (0 K): -0.727 eV/atom
volume: 35.0 Å³ per atom
crystal system: cubic
Fermi-level density of states: 3.95 states/eV per cell

[17]
VASP calculation (PBE-GGA) on a relaxed Zr4PaN4 crystal.

a = 5.761 Å, b = 5.761 Å, c = 5.761 Å
α = 99.27°, β = 99.27°, γ = 132.68°
Atoms (fractional coordinates):
Zr (0.601, 0.190, 0.791)
Zr (0.399, 0.810, 0.209)
Zr (0.810, 0.601, 0.411)
Zr (0.190, 0.399, 0.589)
N (0.698, 0.901, 0.599)
N (0.099, 0.698, 0.798)
N (0.901, 0.302, 0.202)
N (0.302, 0.099, 0.401)
Pa (0.000, 0.000, 0.000)

Output
M_tot: 0.00 Bohr magnetons per cell
E_form (uncorrected): -1449.3 meV/atom
volume: 14.3 Å³ per atom
crystal system: tetragonal
Fermi-level density of states: 5.44 states/eV per cell

[18]
VASP calculation (PBE-GGA) on a relaxed ScFe2H crystal.

a = 4.102 Å, b = 4.102 Å, c = 4.102 Å
α = 60.00°, β = 60.00°, γ = 60.00°
Atoms (fractional coordinates):
H (0.000, 0.000, 0.000)
Sc (0.500, 0.500, 0.500)
Fe (0.250, 0.250, 0.250)
Fe (0.750, 0.750, 0.750)

Output
M_tot: 3.47 Bohr magnetons per cell
distance to the lowest polymorph of the same formula: 950 meV per atom
volume: 12.2 Å³ per atom
crystal system: cubic
Fermi-level density of states: 6.18 states/eV per cell

[19]
VASP calculation (PBE-GGA) on a relaxed AgPd5 crystal.

a = 3.953 Å, b = 3.988 Å, c = 6.320 Å
α = 108.39°, β = 90.00°, γ = 90.00°
Atoms (fractional coordinates):
Pd (0.000, 0.333, 0.666)
Pd (0.000, 0.667, 0.334)
Pd (0.500, 0.169, 0.338)
Pd (0.500, 0.500, 0.000)
Pd (0.500, 0.831, 0.662)
Ag (0.000, 0.000, 0.000)

Output
M_tot: 0.00 Bohr magnetons per cell
ΔH_f (0 K): 0.004 eV/atom
distance to the lowest polymorph of the same formula: 4 meV per atom
volume: 15.8 Å³ per atom
crystal system: orthorhombic
Fermi-level density of states: 11.13 states/eV per cell

[20]
VASP calculation (PBE-GGA) on a relaxed V2CuIrPt crystal.

a = 4.552 Å, b = 4.888 Å, c = 4.552 Å
α = 90.00°, β = 90.00°, γ = 90.00°
Atoms (fractional coordinates):
V (0.000, 0.000, 0.500)
V (0.500, 0.000, 0.000)
Ir (0.000, 0.500, 0.000)
Cu (0.500, 0.500, 0.500)
Pt (0.000, 0.000, 0.000)

Output
M_tot: 0.01 Bohr magnetons per cell
ΔH_f (0 K): 1.446 eV/atom
distance to the lowest polymorph of the same formula: 473 meV per atom
volume: 20.3 Å³ per atom
crystal system: tetragonal
Fermi-level density of states: 7.84 states/eV per cell

[21]
VASP calculation (PBE-GGA) on a relaxed CaSn2O4 crystal.

a = 6.914 Å, b = 6.914 Å, c = 6.914 Å
α = 122.61°, β = 121.77°, γ = 86.24°
Atoms (fractional coordinates):
Sn (0.500, 0.000, 0.500)
Sn (0.000, 0.000, 0.000)
Sn (0.000, 0.500, 0.000)
Sn (0.000, 0.000, 0.500)
O (0.795, 0.788, 0.493)
O (0.795, 0.302, 0.007)
O (0.215, 0.751, 0.464)
O (0.785, 0.249, 0.536)
O (0.212, 0.249, 0.964)
O (0.788, 0.751, 0.036)
O (0.205, 0.698, 0.993)
O (0.205, 0.212, 0.507)
Ca (0.641, 0.391, 0.250)
Ca (0.359, 0.609, 0.750)

Output
M_tot: 0.00 Bohr magnetons per cell
distance to the lowest polymorph of the same formula: 155 meV per atom
E_form (uncorrected): -1758.5 meV/atom
volume: 16.1 Å³ per atom
crystal system: orthorhombic

[22]
VASP calculation (PBE-GGA) on a relaxed Ba3AgHg crystal.

a = 6.440 Å, b = 6.440 Å, c = 6.440 Å
α = 90.00°, β = 90.00°, γ = 90.00°
Atoms (fractional coordinates):
Ba (0.500, 0.000, 0.000)
Ba (0.000, 0.500, 0.000)
Ba (0.000, 0.000, 0.500)
Hg (0.500, 0.500, 0.500)
Ag (0.000, 0.000, 0.000)

Output
M_tot: 0.00 Bohr magnetons per cell
ΔH_f (0 K): -0.050 eV/atom
distance to the lowest polymorph of the same formula: 256 meV per atom
volume: 53.4 Å³ per atom
crystal system: cubic
Fermi-level density of states: 3.81 states/eV per cell

[23]
VASP calculation (PBE-GGA) on a relaxed Li2Ca2La3Tl4 crystal.

a = 5.220 Å, b = 5.220 Å, c = 14.248 Å
α = 90.00°, β = 90.00°, γ = 120.00°
Atoms (fractional coordinates):
Ca (0.667, 0.333, 0.422)
Ca (0.333, 0.667, 0.578)
Tl (0.667, 0.333, 0.660)
Tl (0.667, 0.333, 0.117)
Tl (0.333, 0.667, 0.883)
Tl (0.333, 0.667, 0.340)
La (0.000, 0.000, 0.244)
La (0.000, 0.000, 0.000)
La (0.000, 0.000, 0.756)
Li (0.333, 0.667, 0.125)
Li (0.667, 0.333, 0.875)

Output
M_tot: 0.42 Bohr magnetons per cell
ΔH_f (0 K): -0.267 eV/atom
volume: 30.6 Å³ per atom
crystal system: trigonal
Fermi-level density of states: 13.34 states/eV per cell

[24]
VASP calculation (PBE-GGA) on a relaxed LaMg2ZnRe crystal.

a = 5.869 Å, b = 5.401 Å, c = 5.869 Å
α = 90.00°, β = 90.00°, γ = 90.00°
Atoms (fractional coordinates):
La (0.000, 0.000, 0.000)
Zn (0.000, 0.500, 0.000)
Mg (0.500, 0.000, 0.000)
Mg (0.000, 0.000, 0.500)
Re (0.500, 0.500, 0.500)

Output
M_tot: 3.01 Bohr magnetons per cell
ΔH_f (0 K): 2.157 eV/atom
volume: 37.2 Å³ per atom
crystal system: tetragonal
Fermi-level density of states: 5.80 states/eV per cell